## i
# ZnRuAu (SCAN, PBEsol geometry)
data_ZnRuAu
_symmetry_space_group_name_H-M 'P 1'
_symmetry_Int_Tables_number 1
_symmetry_space_group_name_Hall 'P 1'
_cell_length_a 6.153
_cell_length_b 6.153
_cell_length_c 6.153
_cell_angle_alpha 154.30
_cell_angle_beta 154.30
_cell_angle_gamma 36.67
loop_
_atom_site_label
_atom_site_type_symbol
_atom_site_fract_x
_atom_site_fract_y
_atom_site_fract_z
Zn1 Zn 0.000 0.000 0.000
Ru1 Ru 0.653 0.653 0.000
Au1 Au 0.329 0.329 0.000
# ρ, Mg/m³: 13.79

## ii
# ZnRuAu (SCAN, PBEsol geometry)
data_ZnRuAu
_symmetry_space_group_name_H-M 'P 1'
_symmetry_Int_Tables_number 1
_symmetry_space_group_name_Hall 'P 1'
_cell_length_a 4.100
_cell_length_b 4.100
_cell_length_c 4.100
_cell_angle_alpha 60.00
_cell_angle_beta 60.00
_cell_angle_gamma 60.00
loop_
_atom_site_label
_atom_site_type_symbol
_atom_site_fract_x
_atom_site_fract_y
_atom_site_fract_z
Zn1 Zn 0.000 0.000 0.000
Ru1 Ru 0.250 0.250 0.250
Au1 Au 0.750 0.750 0.750
# ρ, Mg/m³: 12.39

Most stable = i

## i
# ZrRu2Au (SCAN, PBEsol geometry)
data_ZrRu2Au
_symmetry_space_group_name_H-M 'P 1'
_symmetry_Int_Tables_number 1
_symmetry_space_group_name_Hall 'P 1'
_cell_length_a 8.695
_cell_length_b 8.695
_cell_length_c 8.695
_cell_angle_alpha 19.77
_cell_angle_beta 19.77
_cell_angle_gamma 19.77
loop_
_atom_site_label
_atom_site_type_symbol
_atom_site_fract_x
_atom_site_fract_y
_atom_site_fract_z
Zr1 Zr 0.000 0.000 0.000
Ru1 Ru 0.254 0.254 0.254
Ru2 Ru 0.746 0.746 0.746
Au1 Au 0.500 0.500 0.500
# ρ, Mg/m³: 12.37

## ii
# ZrRu2Au (SCAN, PBEsol geometry)
data_ZrRu2Au
_symmetry_space_group_name_H-M 'P 1'
_symmetry_Int_Tables_number 1
_symmetry_space_group_name_Hall 'P 1'
_cell_length_a 4.018
_cell_length_b 4.018
_cell_length_c 3.850
_cell_angle_alpha 90.00
_cell_angle_beta 90.00
_cell_angle_gamma 90.00
loop_
_atom_site_label
_atom_site_type_symbol
_atom_site_fract_x
_atom_site_fract_y
_atom_site_fract_z
Zr1 Zr 0.000 0.000 0.000
Ru1 Ru 0.000 0.500 0.500
Ru2 Ru 0.500 0.000 0.500
Au1 Au 0.500 0.500 0.000
# ρ, Mg/m³: 13.10

## iii
# ZrRu2Au (SCAN, PBEsol geometry)
data_ZrRu2Au
_symmetry_space_group_name_H-M 'P 1'
_symmetry_Int_Tables_number 1
_symmetry_space_group_name_Hall 'P 1'
_cell_length_a 4.802
_cell_length_b 4.802
_cell_length_c 4.802
_cell_angle_alpha 130.15
_cell_angle_beta 130.15
_cell_angle_gamma 73.16
loop_
_atom_site_label
_atom_site_type_symbol
_atom_site_fract_x
_atom_site_fract_y
_atom_site_fract_z
Zr1 Zr 0.000 0.000 0.000
Ru1 Ru 0.250 0.750 0.500
Ru2 Ru 0.750 0.250 0.500
Au1 Au 0.500 0.500 0.000
# ρ, Mg/m³: 12.89

Most stable = ii

## i
# Sb3Au (SCAN, PBEsol geometry)
data_Sb3Au
_symmetry_space_group_name_H-M 'P 1'
_symmetry_Int_Tables_number 1
_symmetry_space_group_name_Hall 'P 1'
_cell_length_a 7.117
_cell_length_b 7.117
_cell_length_c 7.117
_cell_angle_alpha 34.11
_cell_angle_beta 34.11
_cell_angle_gamma 34.11
loop_
_atom_site_label
_atom_site_type_symbol
_atom_site_fract_x
_atom_site_fract_y
_atom_site_fract_z
Sb1 Sb 0.000 0.000 0.000
Sb2 Sb 0.240 0.240 0.240
Sb3 Sb 0.760 0.760 0.760
Au1 Au 0.500 0.500 0.500
# ρ, Mg/m³: 9.23

## ii
# Sb3Au (SCAN, PBEsol geometry)
data_Sb3Au
_symmetry_space_group_name_H-M 'P 1'
_symmetry_Int_Tables_number 1
_symmetry_space_group_name_Hall 'P 1'
_cell_length_a 5.088
_cell_length_b 5.088
_cell_length_c 4.126
_cell_angle_alpha 90.00
_cell_angle_beta 90.00
_cell_angle_gamma 109.55
loop_
_atom_site_label
_atom_site_type_symbol
_atom_site_fract_x
_atom_site_fract_y
_atom_site_fract_z
Sb1 Sb 0.000 0.000 0.000
Sb2 Sb 0.275 0.725 0.500
Sb3 Sb 0.725 0.275 0.500
Au1 Au 0.500 0.500 0.000
# ρ, Mg/m³: 9.27

Most stable = i

## i
# Sb3Au (SCAN, PBEsol geometry)
data_Sb3Au
_symmetry_space_group_name_H-M 'P 1'
_symmetry_Int_Tables_number 1
_symmetry_space_group_name_Hall 'P 1'
_cell_length_a 6.516
_cell_length_b 6.516
_cell_length_c 6.516
_cell_angle_alpha 144.90
_cell_angle_beta 140.97
_cell_angle_gamma 53.49
loop_
_atom_site_label
_atom_site_type_symbol
_atom_site_fract_x
_atom_site_fract_y
_atom_site_fract_z
Sb1 Sb 0.000 0.000 0.000
Sb2 Sb 0.309 0.809 0.500
Sb3 Sb 0.691 0.191 0.500
Au1 Au 0.500 0.500 0.000
# ρ, Mg/m³: 9.38

## ii
# Sb3Au (SCAN, PBEsol geometry)
data_Sb3Au
_symmetry_space_group_name_H-M 'P 1'
_symmetry_Int_Tables_number 1
_symmetry_space_group_name_Hall 'P 1'
_cell_length_a 5.078
_cell_length_b 5.078
_cell_length_c 5.078
_cell_angle_alpha 109.47
_cell_angle_beta 109.47
_cell_angle_gamma 109.47
loop_
_atom_site_label
_atom_site_type_symbol
_atom_site_fract_x
_atom_site_fract_y
_atom_site_fract_z
Sb1 Sb 0.000 0.500 0.500
Sb2 Sb 0.500 0.000 0.500
Sb3 Sb 0.500 0.500 0.000
Au1 Au 0.000 0.000 0.000
# ρ, Mg/m³: 9.26

Most stable = ii

## i
# SiSbAu2 (SCAN, PBEsol geometry)
data_SiSbAu2
_symmetry_space_group_name_H-M 'P 1'
_symmetry_Int_Tables_number 1
_symmetry_space_group_name_Hall 'P 1'
_cell_length_a 3.116
_cell_length_b 4.009
_cell_length_c 6.158
_cell_angle_alpha 90.00
_cell_angle_beta 90.00
_cell_angle_gamma 90.00
loop_
_atom_site_label
_atom_site_type_symbol
_atom_site_fract_x
_atom_site_fract_y
_atom_site_fract_z
Si1 Si 0.000 0.000 0.000
Sb1 Sb 0.500 0.500 0.658
Au1 Au 0.000 0.000 0.409
Au2 Au 0.500 0.500 0.135
# ρ, Mg/m³: 11.74

## ii
# SiSbAu2 (SCAN, PBEsol geometry)
data_SiSbAu2
_symmetry_space_group_name_H-M 'P 1'
_symmetry_Int_Tables_number 1
_symmetry_space_group_name_Hall 'P 1'
_cell_length_a 6.845
_cell_length_b 6.845
_cell_length_c 6.845
_cell_angle_alpha 31.85
_cell_angle_beta 31.85
_cell_angle_gamma 31.85
loop_
_atom_site_label
_atom_site_type_symbol
_atom_site_fract_x
_atom_site_fract_y
_atom_site_fract_z
Si1 Si 0.000 0.000 0.000
Sb1 Sb 0.235 0.235 0.235
Au1 Au 0.481 0.481 0.481
Au2 Au 0.727 0.727 0.727
# ρ, Mg/m³: 11.39

Most stable = ii

## i
# SiSbAu2 (SCAN, PBEsol geometry)
data_SiSbAu2
_symmetry_space_group_name_H-M 'P 1'
_symmetry_Int_Tables_number 1
_symmetry_space_group_name_Hall 'P 1'
_cell_length_a 4.417
_cell_length_b 4.417
_cell_length_c 4.117
_cell_angle_alpha 90.00
_cell_angle_beta 90.00
_cell_angle_gamma 100.61
loop_
_atom_site_label
_atom_site_type_symbol
_atom_site_fract_x
_atom_site_fract_y
_atom_site_fract_z
Si1 Si 0.000 0.000 0.000
Sb1 Sb 0.500 0.500 0.000
Au1 Au 0.215 0.785 0.500
Au2 Au 0.785 0.215 0.500
# ρ, Mg/m³: 11.44

## ii
# SiSbAu2 (SCAN, PBEsol geometry)
data_SiSbAu2
_symmetry_space_group_name_H-M 'P 1'
_symmetry_Int_Tables_number 1
_symmetry_space_group_name_Hall 'P 1'
_cell_length_a 4.085
_cell_length_b 4.085
_cell_length_c 6.135
_cell_angle_alpha 104.56
_cell_angle_beta 104.56
_cell_angle_gamma 52.24
loop_
_atom_site_label
_atom_site_type_symbol
_atom_site_fract_x
_atom_site_fract_y
_atom_site_fract_z
Si1 Si 0.000 0.000 0.000
Sb1 Sb 0.500 0.500 0.500
Au1 Au 0.262 0.262 0.798
Au2 Au 0.738 0.738 0.202
# ρ, Mg/m³: 11.62

Most stable = ii

## i
# TlSb2Au (SCAN, PBEsol geometry)
data_TlSb2Au
_symmetry_space_group_name_H-M 'P 1'
_symmetry_Int_Tables_number 1
_symmetry_space_group_name_Hall 'P 1'
_cell_length_a 5.136
_cell_length_b 5.136
_cell_length_c 5.136
_cell_angle_alpha 60.00
_cell_angle_beta 60.00
_cell_angle_gamma 60.00
loop_
_atom_site_label
_atom_site_type_symbol
_atom_site_fract_x
_atom_site_fract_y
_atom_site_fract_z
Tl1 Tl 0.000 0.000 0.000
Sb1 Sb 0.250 0.250 0.250
Sb2 Sb 0.750 0.750 0.750
Au1 Au 0.500 0.500 0.500
# ρ, Mg/m³: 11.18

## ii
# TlSb2Au (SCAN, PBEsol geometry)
data_TlSb2Au
_symmetry_space_group_name_H-M 'P 1'
_symmetry_Int_Tables_number 1
_symmetry_space_group_name_Hall 'P 1'
_cell_length_a 4.925
_cell_length_b 4.260
_cell_length_c 5.348
_cell_angle_alpha 90.00
_cell_angle_beta 107.06
_cell_angle_gamma 90.00
loop_
_atom_site_label
_atom_site_type_symbol
_atom_site_fract_x
_atom_site_fract_y
_atom_site_fract_z
Tl1 Tl 0.000 0.000 0.000
Sb1 Sb 0.278 0.500 0.692
Sb2 Sb 0.722 0.500 0.308
Au1 Au 0.500 0.000 0.500
# ρ, Mg/m³: 9.98

Most stable = ii

## i
# TlSb2Au (SCAN, PBEsol geometry)
data_TlSb2Au
_symmetry_space_group_name_H-M 'P 1'
_symmetry_Int_Tables_number 1
_symmetry_space_group_name_Hall 'P 1'
_cell_length_a 6.269
_cell_length_b 6.269
_cell_length_c 6.269
_cell_angle_alpha 148.81
_cell_angle_beta 127.73
_cell_angle_gamma 62.13
loop_
_atom_site_label
_atom_site_type_symbol
_atom_site_fract_x
_atom_site_fract_y
_atom_site_fract_z
Tl1 Tl 0.000 0.000 0.000
Sb1 Sb 0.290 0.790 0.500
Sb2 Sb 0.710 0.210 0.500
Au1 Au 0.500 0.500 0.000
# ρ, Mg/m³: 10.71

## ii
# TlSb2Au (SCAN, PBEsol geometry)
data_TlSb2Au
_symmetry_space_group_name_H-M 'P 1'
_symmetry_Int_Tables_number 1
_symmetry_space_group_name_Hall 'P 1'
_cell_length_a 5.161
_cell_length_b 5.161
_cell_length_c 5.161
_cell_angle_alpha 120.19
_cell_angle_beta 120.19
_cell_angle_gamma 89.66
loop_
_atom_site_label
_atom_site_type_symbol
_atom_site_fract_x
_atom_site_fract_y
_atom_site_fract_z
Tl1 Tl 0.000 0.000 0.000
Sb1 Sb 0.250 0.750 0.500
Sb2 Sb 0.500 0.500 0.000
Au1 Au 0.750 0.250 0.500
# ρ, Mg/m³: 11.05

Most stable = i